This record from the Alexandria database describes crystalline DyEr4Cd5 at its relaxed geometry. The functional is GGA-PBE.

Its space group is P4/mmm. The density of states at the Fermi level comes out at 9.749 states/eV/cell. The value obtained for the energy relative to the elements is -0.316 eV per atom. Its total energy is -3.059 eV/atom.

Cell lengths 3.714, 3.714, 18.643 Å; angles 90.00, 90.00, 90.00 degrees
Positions (direct):
Dy: 0.000 0.000 0.000
Er: 0.000 0.000 0.201
Er: 0.000 0.000 0.400
Er: 0.000 0.000 0.600
Er: 0.000 0.000 0.799
Cd: 0.500 0.500 0.102
Cd: 0.500 0.500 0.301
Cd: 0.500 0.500 0.500
Cd: 0.500 0.500 0.699
Cd: 0.500 0.500 0.898

---

This record from the Alexandria database describes crystalline Dy4Er5Cd2 at its relaxed geometry. The functional is GGA-PBE.

Its space group is P2/m. The density of states at the Fermi level comes out at 16.011 states/eV/cell. The value obtained for the energy relative to the elements is 0.018 eV per atom. Its total energy is -3.896 eV/atom.

Cell lengths 8.506, 3.451, 11.107 Å; angles 90.00, 93.37, 90.00 degrees
Positions (direct):
Dy: 0.146 0.000 0.384
Dy: 0.277 0.000 0.951
Dy: 0.723 0.000 0.049
Dy: 0.854 0.000 0.616
Er: 0.203 0.500 0.667
Er: 0.430 0.500 0.205
Er: 0.500 0.500 0.500
Er: 0.570 0.500 0.795
Er: 0.797 0.500 0.333
Cd: 0.055 0.500 0.133
Cd: 0.945 0.500 0.867

---

This record from the Alexandria database describes crystalline Dy3Er4Cd4 at its relaxed geometry. The functional is GGA-PBE.

Its space group is Immm. The density of states at the Fermi level comes out at 8.608 states/eV/cell. The value obtained for the energy relative to the elements is -0.095 eV per atom. Its total energy is -3.342 eV/atom.

Cell lengths 9.530, 9.530, 9.530 Å; angles 147.78, 137.11, 54.64 degrees
Positions (direct):
Dy: 0.000 0.000 0.000
Dy: 0.396 0.896 0.500
Dy: 0.604 0.104 0.500
Er: 0.055 0.318 0.738
Er: 0.420 0.682 0.738
Er: 0.580 0.318 0.262
Er: 0.945 0.682 0.262
Cd: 0.177 0.177 0.000
Cd: 0.292 0.500 0.792
Cd: 0.708 0.500 0.208
Cd: 0.823 0.823 0.000